No. 1
Material: AcErAl
Method: DFT, PBE
State: optimized geometry

Cell: 7.448 7.448 7.448 Å, 90.00 90.00 90.00°
Space group F-43m (No. 216)
One atom of each set of equivalent atoms:
Ac (0.000, 0.000, 0.000) (multiplicity 4)
Er (0.000, 0.000, 0.500) (multiplicity 4)
Al (0.250, 0.250, 0.250) (multiplicity 4)

- Calculated total energy: -4.108 eV per atom
- Total magnetization: 0.63 μB/f.u.
- Polymorph energy (0 for the lowest one): 0.0 meV per atom


No. 2
Material: Cu7Ag
Method: DFT, PBE
State: optimized geometry

Cell: 11.215 2.622 8.695 Å, 90.00 128.17 90.00°
Space group C2/m (No. 12)
One atom of each set of equivalent atoms:
Cu (0.000, 0.000, 0.000) (multiplicity 2)
Cu (0.125, 0.500, 0.879) (multiplicity 4)
Cu (0.130, 0.000, 0.368) (multiplicity 4)
Cu (0.242, 0.500, 0.236) (multiplicity 4)
Ag (0.000, 0.500, 0.500) (multiplicity 2)

- Calculated total energy: -3.556 eV per atom
- Calculated formation energy: 50 meV/atom
- Polymorph energy (0 for the lowest one): 7.1 meV per atom


No. 3
Material: DyEr2Fe2Ni7
Method: DFT, PBE
State: optimized geometry

Cell: 4.9777 4.9777 24.1374 Å, 90.00 90.00 120.00°
Space group R-3m (No. 166, hexagonal axes)
One atom of each set of equivalent atoms:
Dy (0.0000, 0.0000, 0.0000) (multiplicity 3)
Er (0.0000, 0.0000, 0.1390) (multiplicity 6)
Fe (0.0000, 0.0000, 0.3328) (multiplicity 6)
Ni (0.0000, 0.0000, 0.5000) (multiplicity 3)
Ni (0.0001, 0.5001, 0.0819) (multiplicity 18)

- Calculated total energy: -6.141 eV per atom
- Calculated formation energy: -365 meV/atom
- Total magnetization: 6.11 μB/f.u.


- What is the formula in the second record?
  Cu7Ag